(1)
# LiAgAu2

A geometry-optimized LiAgAu2 structure (PBE-GGA, the Alexandria database).

Cell lengths 2.962, 2.962, 7.614 Å; angles 90.00, 90.00, 90.00 degrees
Fractional positions:
Li 0.000 0.000 0.000
Ag 0.500 0.500 0.239
Au 0.000 0.000 0.506
Au 0.500 0.500 0.786

## Properties
Energy relative to the lowest polymorph listed for this composition (kJ/mol of atoms): 10.79
Energy relative to the elements (eV/atom): -0.199
E (eV per atom): -3.029
Symmetry: No. 99
D(E_F) (states/eV per atom): 0.21

=====

(2)
# Dy2Sc2ZnGa4

A geometry-optimized Dy2Sc2ZnGa4 structure (PBE-GGA, the Alexandria database).

Cell lengths 6.472, 6.472, 6.472 Å; angles 117.07, 117.07, 95.16 degrees
Fractional positions:
Dy 0.195 0.195 0.000
Dy 0.805 0.805 0.000
Sc 0.250 0.750 0.500
Sc 0.750 0.250 0.500
Zn 0.500 0.500 0.000
Ga 0.250 0.250 0.500
Ga 0.250 0.750 0.000
Ga 0.750 0.250 0.000
Ga 0.750 0.750 0.500

## Properties
Energy relative to the elements (eV/atom): -0.185
E (eV per atom): -4.102
Symmetry: No. 139
D(E_F) (states/eV per atom): 0.91

=====

(3)
# TaP7Pb

A geometry-optimized TaP7Pb structure (PBE-GGA, the Alexandria database).

Cell lengths 5.022, 7.805, 10.107 Å; angles 90.00, 97.67, 90.00 degrees
Fractional positions:
Ta 0.075 0.250 0.385
Ta 0.925 0.750 0.615
P 0.095 0.250 0.642
P 0.151 0.250 0.133
P 0.207 0.613 0.819
P 0.207 0.887 0.819
P 0.239 0.564 0.364
P 0.239 0.936 0.364
P 0.395 0.750 0.531
P 0.605 0.250 0.469
P 0.761 0.064 0.636
P 0.761 0.436 0.636
P 0.793 0.113 0.181
P 0.793 0.387 0.181
P 0.849 0.750 0.867
P 0.905 0.750 0.358
Pb 0.479 0.750 0.151
Pb 0.521 0.250 0.849

## Properties
Energy relative to the elements (eV/atom): -0.043
E (eV per atom): -5.979
Symmetry: No. 11

=====

(4)
# Zr3Pt

A geometry-optimized Zr3Pt structure (PBE-GGA, the Alexandria database).

Cell lengths 3.351, 3.351, 9.087 Å; angles 90.00, 90.00, 120.00 degrees
Fractional positions:
Zr 0.000 0.000 0.000
Zr 0.333 0.667 0.279
Zr 0.333 0.667 0.721
Pt 0.000 0.000 0.500

## Properties
Energy relative to the elements (eV/atom): -0.287
E (eV per atom): -8.208
Symmetry: No. 187
D(E_F) (states/eV per atom): 1.04

=====

(5)
# LiCdCuGe

A geometry-optimized LiCdCuGe structure (PBE-GGA, the Alexandria database).

Cell lengths 4.480, 4.480, 4.480 Å; angles 60.00, 60.00, 60.00 degrees
Fractional positions:
Li 0.000 0.000 0.000
Cd 0.250 0.250 0.250
Cu 0.500 0.500 0.500
Ge 0.750 0.750 0.750

## Properties
Energy relative to the elements (eV/atom): -0.088
E (eV per atom): -2.973
Symmetry: No. 216
D(E_F) (states/eV per atom): 0.16

=====

(6)
# ZrTe2P

A geometry-optimized ZrTe2P structure (PBE-GGA, the Alexandria database).

Cell lengths 4.127, 4.127, 5.767 Å; angles 90.00, 90.00, 91.93 degrees
Fractional positions:
Zr 0.000 0.000 0.000
Te 0.245 0.755 0.500
Te 0.755 0.245 0.500
P 0.500 0.500 0.000

## Properties
Energy relative to the lowest polymorph listed for this composition (kJ/mol of atoms): 48.40
Formation energy without anion corrections (eV per atom): -0.054
E (eV per atom): -5.115
Symmetry: No. 65
D(E_F) (states/eV per atom): 0.47

=====

(7)
# Pm2TmCo2

A geometry-optimized Pm2TmCo2 structure (PBE-GGA, the Alexandria database).

Cell lengths 7.251, 7.251, 4.278 Å; angles 90.00, 90.00, 90.00 degrees
Fractional positions:
Pm 0.176 0.324 0.000
Pm 0.324 0.824 0.000
Pm 0.676 0.176 0.000
Pm 0.824 0.676 0.000
Tm 0.000 0.000 0.500
Tm 0.500 0.500 0.500
Co 0.110 0.610 0.500
Co 0.390 0.110 0.500
Co 0.610 0.890 0.500
Co 0.890 0.390 0.500

## Properties
Energy relative to the elements (eV/atom): -0.081
E (eV per atom): -5.718
Symmetry: No. 127
D(E_F) (states/eV per atom): 0.79

=====

(8)
# LiCeSb

A geometry-optimized LiCeSb structure (PBE-GGA, the Alexandria database).

Cell lengths 5.389, 5.389, 5.389 Å; angles 133.75, 133.75, 67.48 degrees
Fractional positions:
Li 0.000 0.000 0.000
Ce 0.336 0.336 0.000
Sb 0.688 0.688 0.000

## Properties
Energy relative to the lowest polymorph listed for this composition (kJ/mol of atoms): 32.18
Formation energy without anion corrections (eV per atom): -0.428
E (eV per atom): -4.418
Symmetry: No. 107
D(E_F) (states/eV per atom): 2.53

=====

Which formula does entry 4 have?
Zr3Pt